# Ba2ZnRe

Crystalline Ba2ZnRe at its relaxed geometry (GGA-PBE, the Alexandria database).

CIF file:
```
data_Ba2ZnRe
_cell_length_a 7.559
_cell_length_b 7.559
_cell_length_c 7.559
_cell_angle_alpha 90.00
_cell_angle_beta 90.00
_cell_angle_gamma 90.00
_symmetry_space_group_name_H-M 'F -4 3 m'
_symmetry_Int_Tables_number 216
_symmetry_space_group_name_Hall 'F -4 2 3'
loop_
_atom_site_label
_atom_site_fract_x
_atom_site_fract_y
_atom_site_fract_z
Ba1 0.000 0.000 0.000
Ba2 0.250 0.250 0.250
Zn1 0.250 0.250 0.750
Re1 0.000 0.000 0.500
```


# Ba2ZnRe

Crystalline Ba2ZnRe at its relaxed geometry (GGA-PBE, the Alexandria database).

CIF file:
```
data_Ba2ZnRe
_cell_length_a 8.724
_cell_length_b 3.476
_cell_length_c 8.862
_cell_angle_alpha 90.00
_cell_angle_beta 97.85
_cell_angle_gamma 90.00
_symmetry_space_group_name_H-M 'C 1 2/m 1'
_symmetry_Int_Tables_number 12
loop_
_symmetry_equiv_pos_as_xyz
'x,y,z'
'-x,-y,-z'
'-x,y,-z'
'x,-y,z'
'x+1/2,y+1/2,z'
'-x+1/2,-y+1/2,-z'
'-x+1/2,y+1/2,-z'
'x+1/2,-y+1/2,z'
loop_
_atom_site_label
_atom_site_fract_x
_atom_site_fract_y
_atom_site_fract_z
Ba1 0.246 0.000 0.222
Zn1 0.000 0.000 0.500
Re1 0.000 0.500 0.000
```


# BaZnRe2

Crystalline BaZnRe2 at its relaxed geometry (GGA-PBE, the Alexandria database).

CIF file:
```
data_BaZnRe2
_cell_length_a 2.9186
_cell_length_b 2.9186
_cell_length_c 31.1406
_cell_angle_alpha 90.00
_cell_angle_beta 90.00
_cell_angle_gamma 120.00
_symmetry_space_group_name_H-M 'R -3 m'
_symmetry_Int_Tables_number 166
_symmetry_space_group_name_Hall '-R 3 2"'
loop_
_atom_site_label
_atom_site_fract_x
_atom_site_fract_y
_atom_site_fract_z
Ba1 0.0000 0.0000 0.0000
Zn1 0.0000 0.0000 0.5000
Re1 0.0000 0.0000 0.2358
```


For reference, calculated formation energy by record: 3.95 3.99 4.62 eV per formula unit.